InHgH3 | the Alexandria database | PBE | optimized geometry; total DFT energy (no corrections) = -2.21 eV per atom; SG = Pm-3m; M_tot = 0.000 μB per formula unit
1.0
4.0812 0.0000 0.0000
0.0000 4.0812 0.0000
0.0000 0.0000 4.0812
In Hg H
1 1 3
Direct
0.0000 0.0000 0.0000
0.5000 0.5000 0.5000
0.0000 0.0000 0.5000
0.0000 0.5000 0.0000
0.5000 0.0000 0.0000